(1)
ZrFe2Co2: optimized geometry, PBEsol. Values from VASP.

Structure (Quantum ESPRESSO input):
```
&SYSTEM
  ibrav = 0, nat = 5, ntyp = 3
/
ATOMIC_SPECIES
Zr 91.22 Zr.upf
Fe 55.84 Fe.upf
Co 58.93 Co.upf
CELL_PARAMETERS angstrom
-1.851 1.851 4.865
1.851 -1.851 4.865
1.851 1.851 -4.865
ATOMIC_POSITIONS angstrom
Zr 0.000 0.000 0.000
Fe 1.851 0.000 2.432
Fe 0.000 1.851 2.432
Co 0.000 0.000 3.764
Co 0.000 0.000 5.965
```

Properties
SG: I4/mmm, No. 139
Crystal system: tetragonal

(2)
ZrFe2Co: optimized geometry, PBEsol. Values from VASP.

Structure (Quantum ESPRESSO input):
```
&SYSTEM
  ibrav = 0, nat = 4, ntyp = 3
/
ATOMIC_SPECIES
Zr 91.22 Zr.upf
Fe 55.84 Fe.upf
Co 58.93 Co.upf
CELL_PARAMETERS angstrom
1.362 0.786 8.495
-1.362 0.786 8.495
0.000 -1.573 8.495
ATOMIC_POSITIONS angstrom
Zr 0.000 0.000 0.000
Fe 0.000 0.000 6.086
Fe 0.000 0.000 19.400
Co 0.000 0.000 12.743
```

Properties
SG: R-3m, No. 166
Crystal system: trigonal

(3)
ZrFeCo2: optimized geometry, PBEsol. Values from VASP.

Structure (Quantum ESPRESSO input):
```
&SYSTEM
  ibrav = 0, nat = 4, ntyp = 3
/
ATOMIC_SPECIES
Zr 91.22 Zr.upf
Fe 55.84 Fe.upf
Co 58.93 Co.upf
CELL_PARAMETERS angstrom
2.559 -4.000 0.000
2.559 4.000 0.000
-0.920 0.000 2.534
ATOMIC_POSITIONS angstrom
Zr 0.000 0.000 0.000
Fe 2.559 0.000 0.000
Co 0.820 2.000 1.267
Co 0.820 -2.000 1.267
```

Properties
SG: C2/m, No. 12
Crystal system: monoclinic

| no. | M_tot (μB/f.u.) | raw total energy (eV/atom) | energy of formation (eV per atom) |
| --- | --- | --- | --- |
| 1 | 6.65 | -8.5370 | -0.039 |
| 2 | 6.76 | -8.3294 | 0.359 |
| 3 | 4.30 | -8.2552 | 0.127 |